Entry 1:
## Pm2ZrPt (PBE-GGA)

Data for an optimized crystal structure of Pm2ZrPt.

Values from the calculation:
* DOS at the Fermi energy: 3.929 states/eV per cell
* symmetry: P4/mmm
* energy of formation: -0.425 eV/atom
* calculated density: 9.28 g cm⁻³

Cell lengths 3.610, 3.610, 7.912 Å; angles 90.00, 90.00, 90.00 degrees
Fractional coordinates of all 4 atoms:
Pm1 0.000 0.000 0.217
Pm2 0.000 0.000 0.783
Zr1 0.500 0.500 0.500
Pt1 0.500 0.500 0.000

***

Entry 2:
## La5Pb (PBE-GGA)

Data for an optimized crystal structure of La5Pb.

Values from the calculation:
* DOS at the Fermi energy: 10.413 states/eV per cell
* symmetry: F-43m
* energy of formation: 0.085 eV/atom
* calculated density: 7.07 g cm⁻³
* polymorph energy (0 for the lowest one): 29.7 kJ/mol of atoms

Cell lengths 6.689, 6.689, 6.689 Å; angles 60.00, 60.00, 60.00 degrees
Fractional coordinates of all 6 atoms:
La1 0.000 0.000 0.000
La2 0.123 0.626 0.626
La3 0.626 0.123 0.626
La4 0.626 0.626 0.123
La5 0.626 0.626 0.626
Pb1 0.250 0.250 0.250

***

Entry 3:
## Rb2HAuSe (PBE-GGA)

Data for an optimized crystal structure of Rb2HAuSe.

Values from the calculation:
* DOS at the Fermi energy: 2.308 states/eV per cell
* symmetry: P4/mmm
* calculated density: 5.34 g cm⁻³
* polymorph energy (0 for the lowest one): 0.0 kJ/mol of atoms

Cell lengths 6.175, 6.175, 3.654 Å; angles 90.00, 90.00, 90.00 degrees
Fractional coordinates of all 5 atoms:
Rb1 0.000 0.500 0.000
Rb2 0.500 0.000 0.000
H1 0.000 0.000 0.000
Au1 0.000 0.000 0.500
Se1 0.500 0.500 0.500

***

Entry 4:
## LiZn2GaCl6 (PBE-GGA)

Data for an optimized crystal structure of LiZn2GaCl6.

Values from the calculation:
* DOS at the Fermi energy: 0.000 states/eV per cell
* formation energy without anion corrections: -1172 meV per atom
* symmetry: C2/c
* calculated density: 2.47 g cm⁻³

Cell lengths 9.167, 9.167, 7.148 Å; angles 104.26, 104.26, 88.44 degrees
Fractional coordinates of all 20 atoms:
Li1 0.214 0.786 0.750
Li2 0.786 0.214 0.250
Zn1 0.228 0.385 0.300
Zn2 0.385 0.228 0.800
Zn3 0.615 0.772 0.200
Zn4 0.772 0.615 0.700
Ga1 0.117 0.883 0.250
Ga2 0.883 0.117 0.750
Cl1 0.039 0.202 0.181
Cl2 0.148 0.616 0.429
Cl3 0.202 0.039 0.681
Cl4 0.307 0.421 0.025
Cl5 0.384 0.852 0.071
Cl6 0.421 0.307 0.525
Cl7 0.579 0.693 0.475
Cl8 0.616 0.148 0.929
Cl9 0.693 0.579 0.975
Cl10 0.798 0.961 0.319
Cl11 0.852 0.384 0.571
Cl12 0.961 0.798 0.819

***

Entry 5:
## CsRb2TcBr6 (PBE-GGA)

Data for an optimized crystal structure of CsRb2TcBr6.

Values from the calculation:
* DOS at the Fermi energy: 8.228 states/eV per cell
* formation energy without anion corrections: -1109 meV per atom
* symmetry: Fm-3m
* calculated density: 3.54 g cm⁻³

Cell lengths 8.358, 8.358, 8.358 Å; angles 60.00, 60.00, 60.00 degrees
Fractional coordinates of all 10 atoms:
Cs1 0.000 0.000 0.000
Rb1 0.250 0.250 0.250
Rb2 0.750 0.750 0.750
Tc1 0.500 0.500 0.500
Br1 0.284 0.284 0.716
Br2 0.284 0.716 0.284
Br3 0.284 0.716 0.716
Br4 0.716 0.284 0.284
Br5 0.716 0.284 0.716
Br6 0.716 0.716 0.284

***

Entry 6:
## AcCeRuRh (PBE-GGA)

Data for an optimized crystal structure of AcCeRuRh.

Values from the calculation:
* DOS at the Fermi energy: 4.239 states/eV per cell
* symmetry: F-43m
* energy of formation: -0.301 eV/atom
* calculated density: 10.32 g cm⁻³

Cell lengths 5.065, 5.065, 5.065 Å; angles 60.00, 60.00, 60.00 degrees
Fractional coordinates of all 4 atoms:
Ac1 0.000 0.000 0.000
Ce1 0.500 0.500 0.500
Ru1 0.250 0.250 0.250
Rh1 0.750 0.750 0.750

***

Entry 7:
## KBeMo3 (PBE-GGA)

Data for an optimized crystal structure of KBeMo3.

Values from the calculation:
* DOS at the Fermi energy: 7.535 states/eV per cell
* symmetry: Pm-3m
* energy of formation: 1.633 eV/atom
* calculated density: 6.15 g cm⁻³
* polymorph energy (0 for the lowest one): 0.0 kJ/mol of atoms

Cell lengths 4.493, 4.493, 4.493 Å; angles 90.00, 90.00, 90.00 degrees
Fractional coordinates of all 5 atoms:
K1 0.000 0.000 0.000
Be1 0.500 0.500 0.500
Mo1 0.000 0.500 0.500
Mo2 0.500 0.000 0.500
Mo3 0.500 0.500 0.000

***

Entry 8:
## Cd6HgAu10 (PBE-GGA)

Data for an optimized crystal structure of Cd6HgAu10.

Values from the calculation:
* DOS at the Fermi energy: 6.088 states/eV per cell
* symmetry: P-31m
* energy of formation: -0.089 eV/atom
* calculated density: 14.05 g cm⁻³

Cell lengths 8.223, 8.223, 5.739 Å; angles 90.00, 90.00, 120.00 degrees
Fractional coordinates of all 17 atoms:
Cd1 0.000 0.363 0.315
Cd2 0.000 0.637 0.685
Cd3 0.363 0.000 0.315
Cd4 0.363 0.363 0.685
Cd5 0.637 0.000 0.685
Cd6 0.637 0.637 0.315
Hg1 0.000 0.000 0.500
Au1 0.000 0.287 0.833
Au2 0.000 0.713 0.167
Au3 0.287 0.000 0.833
Au4 0.287 0.287 0.167
Au5 0.333 0.667 0.000
Au6 0.333 0.667 0.500
Au7 0.667 0.333 0.000
Au8 0.667 0.333 0.500
Au9 0.713 0.000 0.167
Au10 0.713 0.713 0.833

***

Entry 9:
## FeReIr2 (PBE-GGA)

Data for an optimized crystal structure of FeReIr2.

Values from the calculation:
* DOS at the Fermi energy: 6.576 states/eV per cell
* symmetry: F-43m
* energy of formation: 0.304 eV/atom
* calculated density: 18.18 g cm⁻³
* polymorph energy (0 for the lowest one): 43.1 kJ/mol of atoms

Cell lengths 4.326, 4.326, 4.326 Å; angles 60.00, 60.00, 60.00 degrees
Fractional coordinates of all 4 atoms:
Fe1 0.000 0.000 0.000
Re1 0.250 0.250 0.250
Ir1 0.500 0.500 0.500
Ir2 0.750 0.750 0.750

***

Entry 10:
## AlInRe2 (PBE-GGA)

Data for an optimized crystal structure of AlInRe2.

Values from the calculation:
* DOS at the Fermi energy: 4.694 states/eV per cell
* symmetry: Cmmm
* energy of formation: 0.516 eV/atom
* calculated density: 13.08 g cm⁻³
* polymorph energy (0 for the lowest one): 39.9 kJ/mol of atoms

Cell lengths 4.953, 4.953, 2.893 Å; angles 90.00, 90.00, 113.11 degrees
Fractional coordinates of all 4 atoms:
Al1 0.000 0.000 0.000
In1 0.500 0.500 0.000
Re1 0.000 0.500 0.500
Re2 0.500 0.000 0.500

***

Entry 11:
## BaLi2Ca (PBE-GGA)

Data for an optimized crystal structure of BaLi2Ca.

Values from the calculation:
* DOS at the Fermi energy: 3.515 states/eV per cell
* symmetry: Cm
* energy of formation: 0.062 eV/atom
* calculated density: 2.20 g cm⁻³
* polymorph energy (0 for the lowest one): 2.6 kJ/mol of atoms

Cell lengths 6.739, 6.739, 6.104 Å; angles 109.80, 109.80, 33.84 degrees
Fractional coordinates of all 4 atoms:
Ba1 0.000 0.000 0.000
Li1 0.447 0.447 0.464
Li2 0.765 0.765 0.218
Ca1 0.206 0.206 0.657

***

Entry 12:
## Rb3CO3F (PBE-GGA)

Data for an optimized crystal structure of Rb3CO3F.

Values from the calculation:
* DOS at the Fermi energy: 0.000 states/eV per cell
* formation energy without anion corrections: -1961 meV per atom
* symmetry: R-3c
* calculated density: 3.49 g cm⁻³

Cell lengths 7.386, 7.386, 7.386 Å; angles 65.53, 65.53, 65.53 degrees
Fractional coordinates of all 16 atoms:
Rb1 0.170 0.750 0.330
Rb2 0.250 0.670 0.830
Rb3 0.330 0.170 0.750
Rb4 0.670 0.830 0.250
Rb5 0.750 0.330 0.170
Rb6 0.830 0.250 0.670
C1 0.250 0.250 0.250
C2 0.750 0.750 0.750
O1 0.086 0.414 0.250
O2 0.250 0.086 0.414
O3 0.414 0.250 0.086
O4 0.586 0.750 0.914
O5 0.750 0.914 0.586
O6 0.914 0.586 0.750
F1 0.000 0.000 0.000
F2 0.500 0.500 0.500

***

Entry 13:
## TaCrRe2 (PBE-GGA)

Data for an optimized crystal structure of TaCrRe2.

Values from the calculation:
* DOS at the Fermi energy: 2.480 states/eV per cell
* symmetry: Immm
* energy of formation: 0.567 eV/atom
* calculated density: 15.54 g cm⁻³

Cell lengths 5.897, 5.897, 5.897 Å; angles 152.14, 137.29, 51.77 degrees
Fractional coordinates of all 4 atoms:
Ta1 0.000 0.000 0.000
Cr1 0.500 0.500 0.000
Re1 0.286 0.286 0.000
Re2 0.714 0.714 0.000

***

Entry 14:
## Li3SmIn2 (PBE-GGA)

Data for an optimized crystal structure of Li3SmIn2.

Values from the calculation:
* DOS at the Fermi energy: 7.314 states/eV per cell
* symmetry: C2/m
* energy of formation: -0.305 eV/atom
* calculated density: 4.98 g cm⁻³

Cell lengths 7.541, 7.541, 9.288 Å; angles 119.20, 119.20, 36.11 degrees
Fractional coordinates of all 12 atoms:
Li1 0.048 0.048 0.386
Li2 0.260 0.260 0.431
Li3 0.411 0.411 0.315
Li4 0.589 0.589 0.685
Li5 0.740 0.740 0.569
Li6 0.952 0.952 0.614
Sm1 0.134 0.134 0.007
Sm2 0.866 0.866 0.993
In1 0.209 0.209 0.733
In2 0.437 0.437 0.798
In3 0.563 0.563 0.202
In4 0.791 0.791 0.267

***

Entry 15:
## Ac2ThIn (PBE-GGA)

Data for an optimized crystal structure of Ac2ThIn.

Values from the calculation:
* DOS at the Fermi energy: 5.086 states/eV per cell
* symmetry: R-3m
* energy of formation: 0.190 eV/atom
* calculated density: 8.43 g cm⁻³
* polymorph energy (0 for the lowest one): 28.7 kJ/mol of atoms

Cell lengths 13.076, 13.076, 13.076 Å; angles 16.53, 16.53, 16.53 degrees
Fractional coordinates of all 4 atoms:
Ac1 0.089 0.089 0.089
Ac2 0.911 0.911 0.911
Th1 0.500 0.500 0.500
In1 0.000 0.000 0.000

***

Entry 16:
## Ba2YPd (PBE-GGA)

Data for an optimized crystal structure of Ba2YPd.

Values from the calculation:
* DOS at the Fermi energy: 10.433 states/eV per cell
* symmetry: I-42d
* energy of formation: -0.029 eV/atom
* calculated density: 4.19 g cm⁻³
* polymorph energy (0 for the lowest one): 0.0 kJ/mol of atoms

Cell lengths 8.685, 8.685, 8.685 Å; angles 95.72, 95.72, 143.19 degrees
Fractional coordinates of all 8 atoms:
Ba1 0.375 0.234 0.359
Ba2 0.766 0.125 0.141
Ba3 0.875 0.016 0.641
Ba4 0.984 0.625 0.859
Y1 0.250 0.750 0.500
Y2 0.500 0.500 0.000
Pd1 0.000 0.000 0.000
Pd2 0.750 0.250 0.500

***

Entry 17:
## NbCuSN2 (PBE-GGA)

Data for an optimized crystal structure of NbCuSN2.

Values from the calculation:
* DOS at the Fermi energy: 3.317 states/eV per cell
* formation energy without anion corrections: 501 meV per atom
* symmetry: P4/mmm
* calculated density: 4.39 g cm⁻³
* polymorph energy (0 for the lowest one): 0.0 kJ/mol of atoms

Cell lengths 3.937, 3.937, 5.279 Å; angles 90.00, 90.00, 90.00 degrees
Fractional coordinates of all 5 atoms:
Nb1 0.000 0.000 0.000
Cu1 0.500 0.500 0.500
S1 0.000 0.000 0.500
N1 0.000 0.500 0.000
N2 0.500 0.000 0.000

***

Entry 18:
## Mg5Pt4 (PBE-GGA)

Data for an optimized crystal structure of Mg5Pt4.

Values from the calculation:
* DOS at the Fermi energy: 8.921 states/eV per cell
* symmetry: P6_3/mcm
* energy of formation: -0.695 eV/atom
* calculated density: 9.80 g cm⁻³
* polymorph energy (0 for the lowest one): 0.0 kJ/mol of atoms

Cell lengths 7.936, 7.936, 5.604 Å; angles 90.00, 90.00, 120.00 degrees
Fractional coordinates of all 18 atoms:
Mg1 0.000 0.286 0.250
Mg2 0.000 0.714 0.750
Mg3 0.286 0.000 0.250
Mg4 0.286 0.286 0.750
Mg5 0.333 0.667 0.000
Mg6 0.333 0.667 0.500
Mg7 0.667 0.333 0.000
Mg8 0.667 0.333 0.500
Mg9 0.714 0.000 0.750
Mg10 0.714 0.714 0.250
Pt1 0.000 0.000 0.000
Pt2 0.000 0.000 0.500
Pt3 0.000 0.384 0.750
Pt4 0.000 0.616 0.250
Pt5 0.384 0.000 0.750
Pt6 0.384 0.384 0.250
Pt7 0.616 0.000 0.250
Pt8 0.616 0.616 0.750

***

Entry 19:
## TbPrH4 (PBE-GGA)

Data for an optimized crystal structure of TbPrH4.

Values from the calculation:
* DOS at the Fermi energy: 1.760 states/eV per cell
* VASP energy: -26.8 eV per cell
* symmetry: P4/mmm
* calculated density: 6.49 g cm⁻³

Cell lengths 3.793, 3.793, 5.405 Å; angles 90.00, 90.00, 90.00 degrees
Fractional coordinates of all 6 atoms:
Tb1 0.000 0.000 0.000
Pr1 0.500 0.500 0.500
H1 0.000 0.500 0.233
H2 0.000 0.500 0.767
H3 0.500 0.000 0.233
H4 0.500 0.000 0.767

***

Entry 20:
## PmNd5Th2 (PBE-GGA)

Data for an optimized crystal structure of PmNd5Th2.

Values from the calculation:
* DOS at the Fermi energy: 12.290 states/eV per cell
* symmetry: Immm
* energy of formation: 0.106 eV/atom
* calculated density: 7.96 g cm⁻³

Cell lengths 9.047, 9.047, 9.047 Å; angles 157.18, 101.44, 83.10 degrees
Fractional coordinates of all 8 atoms:
Pm1 0.000 0.000 0.000
Nd1 0.134 0.369 0.764
Nd2 0.395 0.631 0.764
Nd3 0.500 0.000 0.500
Nd4 0.605 0.369 0.236
Nd5 0.866 0.631 0.236
Th1 0.242 0.742 0.500
Th2 0.758 0.258 0.500

***

Entry 21:
## Nd4MgCo (PBE-GGA)

Data for an optimized crystal structure of Nd4MgCo.

Values from the calculation:
* DOS at the Fermi energy: 20.204 states/eV per cell
* symmetry: F-43m
* energy of formation: -0.099 eV/atom
* calculated density: 6.42 g cm⁻³
* polymorph energy (0 for the lowest one): 0.0 kJ/mol of atoms

Cell lengths 9.888, 9.888, 9.888 Å; angles 60.00, 60.00, 60.00 degrees
Fractional coordinates of all 24 atoms:
Nd1 0.035 0.655 0.655
Nd2 0.061 0.061 0.439
Nd3 0.061 0.439 0.061
Nd4 0.061 0.439 0.439
Nd5 0.187 0.187 0.813
Nd6 0.187 0.813 0.187
Nd7 0.187 0.813 0.813
Nd8 0.439 0.061 0.061
Nd9 0.439 0.061 0.439
Nd10 0.439 0.439 0.061
Nd11 0.655 0.035 0.655
Nd12 0.655 0.655 0.035
Nd13 0.655 0.655 0.655
Nd14 0.813 0.187 0.187
Nd15 0.813 0.187 0.813
Nd16 0.813 0.813 0.187
Mg1 0.421 0.421 0.421
Mg2 0.421 0.421 0.736
Mg3 0.421 0.736 0.421
Mg4 0.736 0.421 0.421
Co1 0.423 0.859 0.859
Co2 0.859 0.423 0.859
Co3 0.859 0.859 0.423
Co4 0.859 0.859 0.859

***

Entry 22:
## NaTbAgCl5 (PBE-GGA)

Data for an optimized crystal structure of NaTbAgCl5.

Values from the calculation:
* DOS at the Fermi energy: 0.000 states/eV per cell
* formation energy without anion corrections: -1687 meV per atom
* symmetry: C2/c
* calculated density: 3.24 g cm⁻³

Cell lengths 7.653, 7.653, 9.853 Å; angles 100.10, 100.10, 118.07 degrees
Fractional coordinates of all 16 atoms:
Na1 0.075 0.925 0.750
Na2 0.925 0.075 0.250
Tb1 0.500 0.500 0.000
Tb2 0.500 0.500 0.500
Ag1 0.214 0.786 0.250
Ag2 0.786 0.214 0.750
Cl1 0.093 0.251 0.951
Cl2 0.163 0.496 0.368
Cl3 0.251 0.093 0.451
Cl4 0.419 0.581 0.750
Cl5 0.496 0.163 0.868
Cl6 0.504 0.837 0.132
Cl7 0.581 0.419 0.250
Cl8 0.749 0.907 0.549
Cl9 0.837 0.504 0.632
Cl10 0.907 0.749 0.049

***

Entry 23:
## Mg2RuRhO6 (PBE-GGA)

Data for an optimized crystal structure of Mg2RuRhO6.

Values from the calculation:
* DOS at the Fermi energy: 3.013 states/eV per cell
* formation energy without anion corrections: -1178 meV per atom
* symmetry: P4mm
* calculated density: 4.32 g cm⁻³

Cell lengths 5.398, 5.398, 4.601 Å; angles 90.00, 90.00, 90.00 degrees
Fractional coordinates of all 10 atoms:
Mg1 0.000 0.500 0.000
Mg2 0.500 0.000 0.000
Ru1 0.000 0.000 0.675
Rh1 0.500 0.500 0.709
O1 0.000 0.000 0.293
O2 0.243 0.243 0.834
O3 0.243 0.757 0.834
O4 0.500 0.500 0.294
O5 0.757 0.243 0.834
O6 0.757 0.757 0.834